No. 1
CaNi3Os | PBE | relaxed

The value obtained for the formation energy is 951 kJ/mol of formula units. The value obtained for the polymorph energy (0 for the lowest one) is 1336 meV/atom.

Unit cell a=4.3414 b=4.3414 c=4.3414 alpha=90.00 beta=90.00 gamma=90.00
Element x y z (fractional)
Ca: 0.0000 0.0000 0.0000
Ni: 0.0000 0.0000 0.5000
Ni: 0.0000 0.5000 0.0000
Ni: 0.5000 0.0000 0.0000
Os: 0.5000 0.5000 0.5000

---

No. 2
CaNi4Os | PBE | relaxed

The value obtained for the formation energy is 118 kJ/mol of formula units.

Unit cell a=4.8694 b=4.8694 c=4.8694 alpha=60.00 beta=60.00 gamma=60.00
Element x y z (fractional)
Ca: 0.0000 0.0000 0.0000
Ni: 0.1261 0.6246 0.6246
Ni: 0.6246 0.1261 0.6246
Ni: 0.6246 0.6246 0.1261
Ni: 0.6246 0.6246 0.6246
Os: 0.2500 0.2500 0.2500

---

No. 3
CaNiOs | PBE | relaxed

The value obtained for the formation energy is 224 kJ/mol of formula units. The value obtained for the polymorph energy (0 for the lowest one) is 479 meV/atom.

Unit cell a=4.3397 b=4.3397 c=4.3397 alpha=60.00 beta=60.00 gamma=60.00
Element x y z (fractional)
Ca: 0.0000 0.0000 0.0000
Ni: 0.2500 0.2500 0.2500
Os: 0.5000 0.5000 0.5000

---

No. 4
CaNiOs2 | PBE | relaxed

The value obtained for the formation energy is 230 kJ/mol of formula units. The value obtained for the polymorph energy (0 for the lowest one) is 309 meV/atom.

Unit cell a=5.5137 b=5.5137 c=5.5137 alpha=149.88 beta=128.97 gamma=60.41
Element x y z (fractional)
Ca: 0.0000 0.0000 0.0000
Ni: 0.2708 0.7708 0.5000
Os: 0.4932 0.4932 0.0000
Os: 0.7156 0.2156 0.5000